The following is a PBE calculation of a relaxed ErZn4Pt2 crystal, from the Alexandria database.

Cell: 7.4726 7.4726 4.2865 Å, 90.00 90.00 90.00°
Last column: nearest neighbours and their distance in Å.
Positions (direct):
Er 0.0000 0.0000 0.0000  6 Pt 3.05-3.10, 4 Zn 3.17
Er 0.5000 0.5000 0.5000  6 Pt 3.05-3.10, 4 Zn 3.17
Zn 0.1017 0.3549 0.5000  3 Pt 2.57-2.61, 6 Zn 2.65-2.85
Zn 0.1451 0.6017 0.0000  3 Pt 2.57-2.61, 6 Zn 2.65-2.85
Zn 0.3549 0.1017 0.5000  3 Pt 2.57-2.61, 6 Zn 2.65-2.85
Zn 0.3983 0.8549 0.0000  3 Pt 2.57-2.61, 6 Zn 2.65-2.85
Zn 0.6017 0.1451 0.0000  3 Pt 2.57-2.61, 6 Zn 2.65-2.85
Zn 0.6451 0.8983 0.5000  3 Pt 2.57-2.61, 6 Zn 2.65-2.85
Zn 0.8549 0.3983 0.0000  3 Pt 2.57-2.61, 6 Zn 2.65-2.85
Zn 0.8983 0.6451 0.5000  3 Pt 2.57-2.61, 6 Zn 2.65-2.85
Pt 0.2115 0.7885 0.5000  6 Zn 2.57-2.61
Pt 0.2885 0.2885 0.0000  6 Zn 2.57-2.61
Pt 0.7115 0.7115 0.0000  6 Zn 2.57-2.61
Pt 0.7885 0.2115 0.5000  6 Zn 2.57-2.61

Energy of formation in eV/atom: -0.655